# 1
The following is a DFT calculation (PBE) of an optimized crystal structure of Sr4CdAu.

POSCAR file:
```
Sr4CdAu
1.0
3.950 -3.950 0.000
3.950 3.950 0.000
-0.015 0.000 7.899
Sr Cd Au
4 1 1
direct
0.000 0.499 0.241
0.000 0.501 0.759
0.499 0.000 0.241
0.501 0.000 0.759
0.000 0.000 0.500
0.500 0.500 0.000
```

Values from the calculation:
Magnetization   0.0000 μB per atom
Formation energy from the elements   -0.295 eV per atom


# 2
The following is a DFT calculation (PBE) of an optimized crystal structure of Mg2ScPbAu.

POSCAR file:
```
Mg2ScPbAu
1.0
5.590 0.000 0.000
0.000 5.590 0.000
0.000 0.000 5.507
Mg Sc Pb Au
2 1 1 1
direct
0.000 0.500 0.000
0.500 0.000 0.000
0.000 0.000 0.000
0.000 0.000 0.500
0.500 0.500 0.500
```

Values from the calculation:
Magnetization   0.0000 μB per atom
Formation energy from the elements   0.859 eV per atom


# 3
The following is a DFT calculation (PBE) of an optimized crystal structure of Tb12PmEr2.

POSCAR file:
```
Tb12PmEr2
1.0
3.564 0.000 0.000
0.000 5.593 0.000
-1.763 0.000 24.308
Tb Pm Er
12 1 2
direct
0.035 0.000 0.074
0.226 0.000 0.444
0.283 0.500 0.575
0.334 0.000 0.670
0.402 0.000 0.798
0.433 0.500 0.861
0.567 0.500 0.139
0.598 0.000 0.202
0.666 0.000 0.330
0.717 0.500 0.425
0.774 0.000 0.556
0.965 0.000 0.926
0.500 0.500 0.000
0.135 0.500 0.272
0.865 0.500 0.728
```

Values from the calculation:
Magnetization   0.0000 μB per atom
Formation energy from the elements   0.112 eV per atom


# 4
The following is a DFT calculation (PBE) of an optimized crystal structure of VNi2Sb2.

POSCAR file:
```
VNi2Sb2
1.0
-2.418 2.418 3.906
2.418 -2.418 3.906
2.418 2.418 -3.906
V Ni Sb
1 2 2
direct
0.000 0.000 0.000
0.353 0.353 0.000
0.647 0.647 0.000
0.250 0.750 0.500
0.750 0.250 0.500
```

Values from the calculation:
Magnetization   0.5984 μB per atom
Raw formation energy   0.289 eV per atom


# 5
The following is a DFT calculation (PBE) of an optimized crystal structure of Na7In2Pb2.

POSCAR file:
```
Na7In2Pb2
1.0
4.242 -6.671 0.000
4.242 6.671 0.000
-1.402 0.000 6.324
Na In Pb
7 2 2
direct
0.000 0.000 0.000
0.093 0.567 0.775
0.322 0.322 0.353
0.433 0.907 0.225
0.567 0.093 0.775
0.678 0.678 0.647
0.907 0.433 0.225
0.339 0.339 0.851
0.661 0.661 0.149
0.115 0.885 0.500
0.885 0.115 0.500
```

Values from the calculation:
Magnetization   0.0000 μB per atom
Formation energy from the elements   -0.042 eV per atom


# 6
The following is a DFT calculation (PBE) of an optimized crystal structure of ZnCO2.

POSCAR file:
```
ZnCO2
1.0
0.000 2.609 2.609
2.609 0.000 2.609
2.609 2.609 0.000
Zn C O
1 1 2
direct
0.000 0.000 0.000
0.500 0.500 0.500
0.250 0.250 0.250
0.750 0.750 0.750
```

Values from the calculation:
Magnetization   0.0000 μB per atom
Raw formation energy   1.103 eV per atom


In the order shown, the computed total DFT energy (no corrections) values come out to -2.114; -2.442; -4.518; -5.496; -2.053; -4.000 eV/atom.